a:
Compound: Np2SbTe
Source: Alexandria
Functional: PBE-GGA
Structure: optimized geometry

CIF file:
```
data_Np2SbTe
_chemical_formula_sum 'Np4 Sb2 Te2'
_cell_length_a 6.228
_cell_length_b 6.228
_cell_length_c 7.630
_cell_angle_alpha 65.92
_cell_angle_beta 65.92
_cell_angle_gamma 89.97
_space_group_name_H-M_alt 'P 1'
_space_group_IT_number 1
_space_group_name_Hall 'P 1'
loop_
_atom_site_label
_atom_site_fract_x
_atom_site_fract_y
_atom_site_fract_z
Np1 0.874 0.124 0.252
Te1 0.125 0.375 0.750
Sb1 0.375 0.125 0.250
Sb2 0.625 0.875 0.750
Np2 0.624 0.374 0.752
Np3 0.376 0.626 0.248
Te2 0.875 0.625 0.250
Np4 0.126 0.876 0.748
```


b:
Compound: Np2SbTe
Source: Alexandria
Functional: PBE-GGA
Structure: optimized geometry

CIF file:
```
data_Np2SbTe
_chemical_formula_sum 'Np2 Sb1 Te1'
_cell_length_a 3.742
_cell_length_b 3.742
_cell_length_c 7.497
_cell_angle_alpha 90.00
_cell_angle_beta 90.00
_cell_angle_gamma 90.00
_space_group_name_H-M_alt 'P 1'
_space_group_IT_number 1
_space_group_name_Hall 'P 1'
loop_
_atom_site_label
_atom_site_fract_x
_atom_site_fract_y
_atom_site_fract_z
Np1 0.000 0.000 0.242
Sb1 0.500 0.500 0.000
Te1 0.500 0.500 0.500
Np2 0.000 0.000 0.758
```


c:
Compound: Np2SbTe
Source: Alexandria
Functional: PBE-GGA
Structure: optimized geometry

CIF file:
```
data_Np2SbTe
_chemical_formula_sum 'Np2 Sb1 Te1'
_cell_length_a 4.267
_cell_length_b 4.267
_cell_length_c 8.127
_cell_angle_alpha 74.78
_cell_angle_beta 74.78
_cell_angle_gamma 60.00
_space_group_name_H-M_alt 'P 1'
_space_group_IT_number 1
_space_group_name_Hall 'P 1'
loop_
_atom_site_label
_atom_site_fract_x
_atom_site_fract_y
_atom_site_fract_z
Te1 0.498 0.498 0.505
Np1 0.081 0.081 0.758
Sb1 0.668 0.668 0.995
Np2 0.253 0.253 0.242
```


What are the relative energies? In meV per atom: a 0; b 32; c 75.


a:
Compound: Np2SbTe
Source: Alexandria
Functional: PBE-GGA
Structure: optimized geometry

CIF file:
```
data_Np2SbTe
_chemical_formula_sum 'Np2 Sb1 Te1'
_cell_length_a 4.418
_cell_length_b 4.418
_cell_length_c 7.582
_cell_angle_alpha 73.06
_cell_angle_beta 73.06
_cell_angle_gamma 60.00
_space_group_name_H-M_alt 'P 1'
_space_group_IT_number 1
_space_group_name_Hall 'P 1'
loop_
_atom_site_label
_atom_site_fract_x
_atom_site_fract_y
_atom_site_fract_z
Sb1 0.500 0.500 0.500
Te1 0.000 0.000 0.000
Np1 0.751 0.751 0.747
Np2 0.249 0.249 0.253
```


b:
Compound: Np2SbTe
Source: Alexandria
Functional: PBE-GGA
Structure: optimized geometry

CIF file:
```
data_Np2SbTe
_chemical_formula_sum 'Np2 Sb1 Te1'
_cell_length_a 5.289
_cell_length_b 5.289
_cell_length_c 5.289
_cell_angle_alpha 60.00
_cell_angle_beta 60.00
_cell_angle_gamma 60.00
_space_group_name_H-M_alt 'P 1'
_space_group_IT_number 1
_space_group_name_Hall 'P 1'
loop_
_atom_site_label
_atom_site_fract_x
_atom_site_fract_y
_atom_site_fract_z
Np1 0.250 0.250 0.250
Sb1 0.000 0.000 0.000
Te1 0.500 0.500 0.500
Np2 0.750 0.750 0.750
```


What are the relative energies? In meV per atom: a 0; b 28.